1.
SrEu2Dy PBE relaxed; DOS at the Fermi energy = 1.043 states/eV/atom; theoretical density = 5.6 g/cm3; relative energy among the computed polymorphs = 7.2 meV/atom; DFT total energy = -6.608 eV per atom
1.0
1.931 1.115 12.781
-1.931 1.115 12.781
0.000 -2.230 12.781
Sr Eu Dy
1 2 1
direct
0.000 0.000 0.000
0.244 0.244 0.244
0.756 0.756 0.756
0.500 0.500 0.500

2.
KPmMnCl6 PBE relaxed; DOS at the Fermi energy = 1.018 states/eV/atom; ΔE_f (raw) = -1564 meV/atom; theoretical density = 2.8 g/cm3; DFT total energy = -4.463 eV per atom
1.0
6.590 0.000 0.000
-3.295 5.707 0.000
0.000 0.000 14.141
K Pm Mn Cl
2 2 2 12
direct
0.000 0.000 0.000
0.000 0.000 0.500
0.333 0.667 0.250
0.667 0.333 0.750
0.333 0.667 0.750
0.667 0.333 0.250
0.041 0.383 0.648
0.041 0.657 0.852
0.343 0.383 0.852
0.343 0.959 0.648
0.383 0.041 0.148
0.383 0.343 0.352
0.617 0.657 0.648
0.617 0.959 0.852
0.657 0.041 0.352
0.657 0.617 0.148
0.959 0.343 0.148
0.959 0.617 0.352

3.
DyPu2Ni2Ge2 PBE relaxed; DOS at the Fermi energy = 1.494 states/eV/atom; theoretical density = 12.4 g/cm3; DFT total energy = -8.100 eV per atom
1.0
2.021 1.167 8.626
-2.021 1.167 8.626
0.000 -2.333 8.626
Dy Pu Ni Ge
1 2 2 2
direct
0.000 0.000 0.000
0.152 0.152 0.152
0.848 0.848 0.848
0.424 0.424 0.424
0.576 0.576 0.576
0.263 0.263 0.263
0.737 0.737 0.737

4.
LiFe2Os2 PBE relaxed; DOS at the Fermi energy = 0.768 states/eV/atom; theoretical density = 11.3 g/cm3; relative energy among the computed polymorphs = 226.2 meV/atom; DFT total energy = -7.789 eV per atom
1.0
-1.959 1.959 4.793
1.959 -1.959 4.793
1.959 1.959 -4.793
Li Fe Os
1 2 2
direct
0.000 0.000 0.000
0.393 0.393 0.000
0.607 0.607 0.000
0.250 0.750 0.500
0.750 0.250 0.500

5.
KRe2Sb PBE relaxed; DOS at the Fermi energy = 0.820 states/eV/atom; ΔE_f (raw) = 1154 meV/atom; theoretical density = 10.9 g/cm3; DFT total energy = -6.375 eV per atom
1.0
1.524 0.880 10.087
-1.524 0.880 10.087
0.000 -1.759 10.087
K Re Sb
1 2 1
direct
0.000 0.000 0.000
0.235 0.235 0.235
0.765 0.765 0.765
0.500 0.500 0.500

6.
Tb3TmZn2 PBE relaxed; DOS at the Fermi energy = 0.525 states/eV/atom; theoretical density = 8.4 g/cm3; relative energy among the computed polymorphs = 0.0 meV/atom; DFT total energy = -3.715 eV per atom
1.0
5.042 0.000 0.000
0.000 9.089 0.000
0.000 0.000 6.699
Tb Tm Zn
6 2 4
direct
0.000 0.055 0.000
0.000 0.330 0.342
0.000 0.670 0.842
0.000 0.945 0.500
0.500 0.176 0.683
0.500 0.824 0.183
0.500 0.445 0.029
0.500 0.555 0.529
0.000 0.349 0.791
0.000 0.651 0.291
0.500 0.152 0.237
0.500 0.848 0.737

Which of these has the highest DOS at the Fermi energy?
DyPu2Ni2Ge2